# 1
## Sm3IrO7 (PBE-GGA)

Data for a geometry-optimized Sm3IrO7 structure.

Geometry as extended XYZ:
```
22
Lattice="-5.527 -2.141 2.697 -0.752 -6.401 -0.931 3.626 -1.351 6.360" Properties=species:S:1:pos:R:3 pbc="T T T"
Ir -3.140 -4.271 0.883
Ir -1.327 -4.946 4.063
O -1.288 -4.042 0.227
O -2.891 -6.222 0.677
O 0.195 -1.571 1.734
O -2.686 -4.205 2.817
O -4.425 -7.856 3.033
O 0.233 -4.609 2.895
O -1.369 -6.789 3.345
O -1.284 -3.104 4.781
O -2.886 -5.284 5.231
O 1.772 -2.036 5.093
O 0.033 -5.688 5.309
O -2.848 -8.321 6.392
O 0.238 -3.670 7.449
O -1.365 -5.850 7.900
Sm 0.000 0.000 0.000
Sm -1.776 -1.867 2.795
Sm -4.572 -5.671 3.581
Sm 1.813 -0.675 3.180
Sm 1.919 -4.221 4.545
Sm -0.877 -8.026 5.332
```

Properties
- Total energy: -172.41 eV per cell
- ρ: 8.52 g/cm3
- M_tot: 0.182 μB per atom

=====

# 2
## Na2MgPt (PBE-GGA)

Data for a geometry-optimized Na2MgPt structure.

Geometry as extended XYZ:
```
4
Lattice="0.000 3.381 3.381 3.381 0.000 3.381 3.381 3.381 0.000" Properties=species:S:1:pos:R:3 pbc="T T T"
Mg 0.000 0.000 0.000
Na 1.690 1.690 1.690
Na 3.381 3.381 3.381
Pt 5.071 5.071 5.071
```

Properties
- Total energy: -11.09 eV per cell
- ρ: 5.70 g/cm3
- M_tot: 0.000 μB per atom

=====

# 3
## Ta2Nb4Ni3N3 (PBE-GGA)

Data for a geometry-optimized Ta2Nb4Ni3N3 structure.

Geometry as extended XYZ:
```
24
Lattice="-4.721 2.379 0.272 -3.213 0.082 -4.207 -2.768 -11.959 5.202" Properties=species:S:1:pos:R:3 pbc="T T T"
N -2.361 1.190 0.136
N -4.876 1.908 -1.276
N -5.100 -4.424 1.896
N -2.990 -5.939 0.498
N -5.602 -5.074 -0.628
N -5.826 -11.405 2.544
Nb -1.259 -0.578 0.401
Nb -6.548 1.056 -2.228
Nb -3.024 -4.188 1.648
Nb -8.318 -2.546 -0.967
Nb -2.384 -6.952 2.234
Nb -7.678 -5.310 -0.381
Nb -4.154 -10.554 3.495
Nb -9.443 -8.919 0.866
Ni -2.514 -2.700 -0.415
Ni -4.016 -2.739 -2.577
Ni -6.337 -1.528 -2.303
Ni -4.364 -7.969 3.571
Ni -6.686 -6.759 3.844
Ni -8.188 -6.798 1.683
Ta -4.159 -0.217 -0.807
Ta -5.394 -2.942 0.174
Ta -5.307 -6.556 1.093
Ta -6.542 -9.281 2.075
```

Properties
- Total energy: -222.80 eV per cell
- ρ: 10.08 g/cm3
- M_tot: 0.000 μB per atom

=====

# 4
## SrGdU (PBE-GGA)

Data for a geometry-optimized SrGdU structure.

Geometry as extended XYZ:
```
3
Lattice="0.000 3.947 3.947 3.947 0.000 3.947 3.947 3.947 0.000" Properties=species:S:1:pos:R:3 pbc="T T T"
Gd 1.973 1.973 1.973
Sr 5.920 5.920 5.920
U 0.000 0.000 0.000
```

Properties
- Total energy: -12.95 eV per cell
- ρ: 6.52 g/cm3
- M_tot: 1.518 μB per atom

=====

# 5
## SrMg2Cd2 (PBE-GGA)

Data for a geometry-optimized SrMg2Cd2 structure.

Geometry as extended XYZ:
```
5
Lattice="4.783 0.000 0.000 -2.392 4.143 0.000 0.000 0.000 7.643" Properties=species:S:1:pos:R:3 pbc="T T T"
Cd 2.392 1.381 1.955
Cd 0.000 2.762 5.688
Mg 0.000 2.762 2.798
Mg 2.392 1.381 4.845
Sr 0.000 0.000 0.000
```

Properties
- Total energy: -6.71 eV per cell
- ρ: 3.96 g/cm3
- Polymorph energy (0 for the lowest one): 188 meV per atom

=====

# 6
## Na2Cd2ReO6 (PBE-GGA)

Data for a geometry-optimized Na2Cd2ReO6 structure.

Geometry as extended XYZ:
```
11
Lattice="-4.938 1.351 2.301 3.902 -2.186 3.391 2.174 5.151 -0.919" Properties=species:S:1:pos:R:3 pbc="T T T"
Cd -1.929 0.147 2.672
Cd 0.893 -0.982 3.020
Na -2.304 3.307 2.033
Na 3.442 1.009 2.741
O -0.374 0.406 4.353
O -1.040 1.422 0.833
O 1.524 0.397 1.149
O -0.385 3.919 3.625
O 2.178 2.894 3.941
O 1.512 3.910 0.420
Re 0.000 0.000 0.000
```

Properties
- Total energy: -61.51 eV per cell
- ρ: 6.19 g/cm3
- M_tot: 0.079 μB per atom

=====

# 7
## ScAgF3 (PBE-GGA)

Data for a geometry-optimized ScAgF3 structure.

Geometry as extended XYZ:
```
5
Lattice="-1.295 3.040 2.724 -3.773 -1.982 0.417 1.557 -2.274 3.278" Properties=species:S:1:pos:R:3 pbc="T T T"
Ag 0.000 0.000 0.000
F -0.648 1.520 1.362
F -1.887 -0.991 0.209
F 0.778 -1.137 1.639
Sc -1.756 -0.608 3.210
```

Properties
- Total energy: -21.31 eV per cell
- ρ: 4.44 g/cm3
- Polymorph energy (0 for the lowest one): 1387 meV per atom
- M_tot: 0.238 μB per atom

=====

# 8
## Li5BiPd6 (PBE-GGA)

Data for a geometry-optimized Li5BiPd6 structure.

Geometry as extended XYZ:
```
12
Lattice="4.338 0.000 0.000 -0.004 6.279 0.000 -2.159 -0.001 6.445" Properties=species:S:1:pos:R:3 pbc="T T T"
Bi 0.000 0.000 0.000
Li -0.002 3.139 0.000
Li 2.166 3.139 2.121
Li 2.168 0.000 2.204
Li 0.010 -0.001 4.241
Li 0.009 3.139 4.324
Pd 2.169 1.691 0.000
Pd 2.165 4.588 0.000
Pd -0.002 4.614 2.211
Pd -0.002 1.663 2.213
Pd 2.177 4.614 4.233
Pd 2.177 1.663 4.234
```

Properties
- Total energy: -50.06 eV per cell
- ρ: 8.35 g/cm3